# 1
VASP calculation (PBE-GGA) on NaSc3B after structural relaxation.

Cell: 4.9801 4.9801 4.9801 Å, 90.00 90.00 90.00°
Last column: nearest neighbours and their distance in Å.
Fractional positions:
Na 0.0000 0.0000 0.0000  6 Sc 2.49
Sc 0.0000 0.0000 0.5000  2 Na 2.49
Sc 0.0000 0.5000 0.0000  2 Na 2.49
Sc 0.5000 0.0000 0.0000  2 Na 2.49
B 0.5000 0.5000 0.5000  12 Sc 3.52

## Properties
The value obtained for the offset from the most stable computed form is 8.50 eV per formula unit. The raw total energy is -3.592 eV per atom. Its mass density is 2.3 g/cm³. The value obtained for the energy of formation from the pure elements is 1.81 eV/atom.

=====

# 2
VASP calculation (PBE-GGA) on Sc2ReMo after structural relaxation.

Cell: 5.5875 5.5875 5.5875 Å, 145.80 129.83 62.12°
Last column: nearest neighbours and their distance in Å.
Fractional positions:
Sc 0.0000 0.0000 0.0000  4 Re 2.90, 4 Mo 3.08-3.22, 4 Sc 3.10-3.20
Sc 0.7253 0.2253 0.5000  4 Mo 2.92, 2 Re 2.95, 4 Sc 3.10-3.20
Re 0.4687 0.4687 0.0000  2 Mo 2.50
Mo 0.2722 0.7722 0.5000  2 Re 2.50

## Properties
The value obtained for the offset from the most stable computed form is 0.15 eV per formula unit. The raw total energy is -9.038 eV per atom. Its mass density is 8.3 g/cm³. The value obtained for the energy of formation from the pure elements is -0.05 eV/atom.

=====

# 3
VASP calculation (PBE-GGA) on VP after structural relaxation.

Cell: 3.3896 3.3896 11.1045 Å, 90.00 90.00 120.00°
Last column: nearest neighbours and their distance in Å.
Fractional positions:
V 0.3333 0.6667 0.1169  6 P 2.35-2.45
V 0.3333 0.6667 0.3831  6 P 2.35-2.45
V 0.6667 0.3333 0.6169  6 P 2.35-2.45
V 0.6667 0.3333 0.8831  6 P 2.35-2.45
P 0.0000 0.0000 0.0000  6 V 2.35
P 0.0000 0.0000 0.5000  6 V 2.35
P 0.3333 0.6667 0.7500  6 V 2.45
P 0.6667 0.3333 0.2500  6 V 2.45

## Properties
The raw total energy is -7.903 eV per atom. Its mass density is 4.9 g/cm³. The value obtained for the energy of formation from the pure elements is -0.64 eV/atom.

=====

# 4
VASP calculation (PBE-GGA) on TbPr2Gd after structural relaxation.

Cell: 5.1705 5.1705 5.1140 Å, 90.00 90.00 90.00°
Last column: nearest neighbours and their distance in Å.
Fractional positions:
Tb 0.0000 0.0000 0.0000  8 Pr 3.64, 4 Gd 3.66
Pr 0.0000 0.5000 0.5000  4 Gd 3.64, 4 Tb 3.64, 4 Pr 3.66
Pr 0.5000 0.0000 0.5000  4 Gd 3.64, 4 Tb 3.64, 4 Pr 3.66
Gd 0.5000 0.5000 0.0000  8 Pr 3.64, 4 Tb 3.66

## Properties
The value obtained for the offset from the most stable computed form is 0.00 eV per formula unit. The raw total energy is -7.056 eV per atom. Its mass density is 7.3 g/cm³. The value obtained for the energy of formation from the pure elements is 0.01 eV/atom.

=====

For reference, total magnetic moment by record: 2.55, 0.00, 0.00, 7.31 μB/cell.